1.
Density functional theory data (PBE) for a relaxed structure of Pm3AsRh.

Results
- energy relative to the elements (eV per atom) = -0.34
- total energy (eV for the cell shown) = -27.95
- total magnetization (μB per formula unit) = 0.00
- SG = Pm-3m, No. 221

a = 5.3841 Å, b = 5.3841 Å, c = 5.3841 Å
α = 90.00°, β = 90.00°, γ = 90.00°
Last column: nearest neighbours and their distance in Å.
Element x y z (fractional)
Pm (0.0000, 0.0000, 0.5000)  2 Rh 2.69
Pm (0.0000, 0.5000, 0.0000)  2 Rh 2.69
Pm (0.5000, 0.0000, 0.0000)  2 Rh 2.69
As (0.5000, 0.5000, 0.5000)  12 Pm 3.81
Rh (0.0000, 0.0000, 0.0000)  6 Pm 2.69

---

2.
Density functional theory data (PBE) for a relaxed structure of Pm2As7Rh12.

Results
- energy relative to the elements (eV per atom) = -0.71
- total energy (eV for the cell shown) = -145.11
- total magnetization (μB per formula unit) = 0.00
- SG = P-3, No. 147

a = 9.9898 Å, b = 9.9898 Å, c = 3.9614 Å
α = 90.00°, β = 90.00°, γ = 120.00°
Last column: nearest neighbours and their distance in Å.
Element x y z (fractional)
Pm (0.3333, 0.6667, 0.2510)  6 As 3.13-3.14, 9 Rh 3.18-3.49
Pm (0.6667, 0.3333, 0.7490)  6 As 3.13-3.14, 9 Rh 3.18-3.49
As (0.0000, 0.0000, 0.0000)  6 Rh 2.49
As (0.1163, 0.4042, 0.7492)  7 Rh 2.44-2.61
As (0.2879, 0.8837, 0.7492)  7 Rh 2.44-2.61
As (0.4042, 0.2879, 0.2508)  7 Rh 2.44-2.61
As (0.5958, 0.7121, 0.7492)  7 Rh 2.44-2.61
As (0.7121, 0.1163, 0.2508)  7 Rh 2.44-2.61
As (0.8837, 0.5958, 0.2508)  7 Rh 2.44-2.61
Rh (0.0638, 0.6186, 0.7502)  4 As 2.45-2.61
Rh (0.1149, 0.8517, 0.2532)  4 As 2.44-2.55
Rh (0.1483, 0.2633, 0.2532)  4 As 2.44-2.55
Rh (0.2633, 0.1149, 0.7468)  4 As 2.44-2.55
Rh (0.3814, 0.4452, 0.7502)  4 As 2.45-2.61
Rh (0.4452, 0.0638, 0.2498)  4 As 2.45-2.61
Rh (0.5548, 0.9362, 0.7502)  4 As 2.45-2.61
Rh (0.6186, 0.5548, 0.2498)  4 As 2.45-2.61
Rh (0.7367, 0.8851, 0.2532)  4 As 2.44-2.55
Rh (0.8517, 0.7367, 0.7468)  4 As 2.44-2.55
Rh (0.8851, 0.1483, 0.7468)  4 As 2.44-2.55
Rh (0.9362, 0.3814, 0.2498)  4 As 2.45-2.61

---

3.
Density functional theory data (PBE) for a relaxed structure of PmAsRh3.

Results
- energy relative to the elements (eV per atom) = -0.61
- total energy (eV for the cell shown) = -69.04
- total magnetization (μB per formula unit) = 0.00
- E above lowest polymorph (eV/atom) = 0.090
- SG = Imma, No. 74

a = 6.3719 Å, b = 6.3719 Å, c = 6.3719 Å
α = 129.18°, β = 106.23°, γ = 95.10°
Last column: nearest neighbours and their distance in Å.
Element x y z (fractional)
Pm (0.2547, 0.0047, 0.2500)  7 Rh 2.83-3.14
Pm (0.7453, 0.9953, 0.7500)  7 Rh 2.83-3.14
As (0.0000, 0.5000, 0.5000)  6 Rh 2.44-2.57
As (0.5000, 0.5000, 0.0000)  6 Rh 2.44-2.57
Rh (0.0741, 0.3241, 0.7500)  2 As 2.44, 4 Rh 2.72
Rh (0.2963, 0.0000, 0.7963)  2 As 2.57, 4 Rh 2.72-2.73
Rh (0.2963, 0.5000, 0.2963)  2 As 2.57, 4 Rh 2.72-2.73
Rh (0.7037, 0.0000, 0.2037)  2 As 2.57, 4 Rh 2.72-2.73
Rh (0.7037, 0.5000, 0.7037)  2 As 2.57, 4 Rh 2.72-2.73
Rh (0.9259, 0.6759, 0.2500)  2 As 2.44, 4 Rh 2.72

---

4.
Density functional theory data (PBE) for a relaxed structure of PmAs2Rh4.

Results
- energy relative to the elements (eV per atom) = -0.72
- total energy (eV for the cell shown) = -96.94
- total magnetization (μB per formula unit) = 0.00
- SG = P4_2/mnm, No. 136

a = 7.7818 Å, b = 7.7818 Å, c = 3.8854 Å
α = 90.00°, β = 90.00°, γ = 90.00°
Last column: nearest neighbours and their distance in Å.
Element x y z (fractional)
Pm (0.0000, 0.0000, 0.0000)  6 As 3.00-3.17, 8 Rh 3.30
Pm (0.5000, 0.5000, 0.5000)  6 As 3.00-3.17, 8 Rh 3.30
As (0.2273, 0.2273, 0.5000)  6 Rh 2.51
As (0.2727, 0.7273, 0.0000)  6 Rh 2.51
As (0.7273, 0.2727, 0.0000)  6 Rh 2.51
As (0.7727, 0.7727, 0.5000)  6 Rh 2.51
Rh (0.0771, 0.6665, 0.5000)  3 As 2.51, 4 Rh 2.80
Rh (0.1665, 0.4229, 0.0000)  3 As 2.51, 4 Rh 2.80
Rh (0.3335, 0.9229, 0.5000)  3 As 2.51, 4 Rh 2.80
Rh (0.4229, 0.1665, 0.0000)  3 As 2.51, 4 Rh 2.80
Rh (0.5771, 0.8335, 0.0000)  3 As 2.51, 4 Rh 2.80
Rh (0.6665, 0.0771, 0.5000)  3 As 2.51, 4 Rh 2.80
Rh (0.8335, 0.5771, 0.0000)  3 As 2.51, 4 Rh 2.80
Rh (0.9229, 0.3335, 0.5000)  3 As 2.51, 4 Rh 2.80

---

5.
Density functional theory data (PBE) for a relaxed structure of Pm3AsRh3.

Results
- energy relative to the elements (eV per atom) = -0.82
- total energy (eV for the cell shown) = -93.38
- total magnetization (μB per formula unit) = 0.00
- SG = C2/m, No. 12

a = 5.6759 Å, b = 5.6759 Å, c = 14.8172 Å
α = 107.19°, β = 107.19°, γ = 42.37°
Last column: nearest neighbours and their distance in Å.
Element x y z (fractional)
Pm (0.0170, 0.0170, 0.3820)  3 As 2.98-3.09, 7 Rh 3.04-3.33
Pm (0.1096, 0.1096, 0.9262)  7 Rh 2.89-3.16
Pm (0.2387, 0.2387, 0.2226)  5 Rh 2.97-3.09, 2 As 3.14
Pm (0.7613, 0.7613, 0.7774)  5 Rh 2.97-3.09, 2 As 3.14
Pm (0.8904, 0.8904, 0.0738)  7 Rh 2.89-3.16
Pm (0.9830, 0.9830, 0.6180)  3 As 2.98-3.09, 7 Rh 3.04-3.33
As (0.2648, 0.2648, 0.6178)  4 Rh 2.48-2.60
As (0.7352, 0.7352, 0.3822)  4 Rh 2.48-2.60
Rh (0.3372, 0.3372, 0.4695)  3 As 2.48-2.55
Rh (0.3819, 0.3819, 0.9247)  2 Rh 2.77-2.80, 5 Pm 2.89-3.00
Rh (0.4751, 0.4751, 0.7679)  1 As 2.60, 1 Rh 2.80
Rh (0.5249, 0.5249, 0.2321)  1 As 2.60, 1 Rh 2.80
Rh (0.6181, 0.6181, 0.0753)  2 Rh 2.77-2.80, 5 Pm 2.89-3.00
Rh (0.6628, 0.6628, 0.5305)  3 As 2.48-2.55

---

6.
Density functional theory data (PBE) for a relaxed structure of PmAs2RuRh.

Results
- energy relative to the elements (eV per atom) = -0.79
- total energy (eV for the cell shown) = -34.64
- total magnetization (μB per formula unit) = 0.00
- SG = I-4m2, No. 119

a = 6.0739 Å, b = 6.0739 Å, c = 6.0739 Å
α = 140.15°, β = 140.15°, γ = 57.63°
Last column: nearest neighbours and their distance in Å.
Element x y z (fractional)
Pm (0.0000, 0.0000, 0.0000)  8 As 3.21, 4 Ru 3.37, 4 Rh 3.37
As (0.3762, 0.3762, 0.0000)  2 Ru 2.47, 2 Rh 2.47, 1 As 2.63
As (0.6238, 0.6238, 0.0000)  2 Ru 2.47, 2 Rh 2.47, 1 As 2.63
Ru (0.2500, 0.7500, 0.5000)  4 As 2.47
Rh (0.7500, 0.2500, 0.5000)  4 As 2.47

---

7.
Density functional theory data (PBE) for a relaxed structure of Pm2As4RuRh3.

Results
- energy relative to the elements (eV per atom) = -0.89
- total energy (eV for the cell shown) = -68.30
- total magnetization (μB per formula unit) = 0.00
- SG = P-4m2, No. 115

a = 4.2719 Å, b = 4.2719 Å, c = 10.0344 Å
α = 90.00°, β = 90.00°, γ = 90.00°
Last column: nearest neighbours and their distance in Å.
Element x y z (fractional)
Pm (0.0000, 0.5000, 0.2450)  6 Rh 3.26-3.33, 8 As 3.26, 2 Ru 3.33
Pm (0.5000, 0.0000, 0.7550)  6 Rh 3.26-3.33, 8 As 3.26, 2 Ru 3.33
As (0.0000, 0.0000, 0.0000)  4 Rh 2.47
As (0.0000, 0.5000, 0.6327)  3 Rh 2.44-2.52, 2 Ru 2.52
As (0.5000, 0.0000, 0.3673)  3 Rh 2.44-2.52, 2 Ru 2.52
As (0.5000, 0.5000, 0.0000)  4 Rh 2.47
Ru (0.0000, 0.0000, 0.5000)  4 As 2.52
Rh (0.0000, 0.5000, 0.8759)  5 As 2.44-2.47
Rh (0.5000, 0.0000, 0.1241)  5 As 2.44-2.47
Rh (0.5000, 0.5000, 0.5000)  4 As 2.52

---

8.
Density functional theory data (PBE) for a relaxed structure of PmAsRhS.

Results
- total energy (eV for the cell shown) = -50.94
- total magnetization (μB per formula unit) = 0.00
- formation energy (no corrections) (eV per atom) = -1.1480
- SG = P4/nmm, No. 129

a = 4.4964 Å, b = 4.4964 Å, c = 8.4177 Å
α = 90.00°, β = 90.00°, γ = 90.00°
Last column: nearest neighbours and their distance in Å.
Element x y z (fractional)
Pm (0.2500, 0.2500, 0.1837)  4 S 2.73
Pm (0.7500, 0.7500, 0.8163)  4 S 2.73
As (0.2500, 0.2500, 0.6332)  4 Rh 2.51
As (0.7500, 0.7500, 0.3668)  4 Rh 2.51
Rh (0.2500, 0.7500, 0.5000)  4 As 2.51
Rh (0.7500, 0.2500, 0.5000)  4 As 2.51
S (0.2500, 0.7500, 0.0000)  4 Pm 2.73
S (0.7500, 0.2500, 0.0000)  4 Pm 2.73

---

9.
Density functional theory data (PBE) for a relaxed structure of Pm2Sb3AsRh4.

Results
- total energy (eV for the cell shown) = -64.06
- total magnetization (μB per formula unit) = 0.00
- formation energy (no corrections) (eV per atom) = -0.8138
- SG = P-4m2, No. 115

a = 4.4604 Å, b = 4.4604 Å, c = 10.4646 Å
α = 90.00°, β = 90.00°, γ = 90.00°
Last column: nearest neighbours and their distance in Å.
Element x y z (fractional)
Pm (0.0000, 0.5000, 0.2453)  6 Sb 3.39-3.40, 2 As 3.40, 8 Rh 3.42-3.48
Pm (0.5000, 0.0000, 0.7547)  6 Sb 3.39-3.40, 2 As 3.40, 8 Rh 3.42-3.48
Sb (0.0000, 0.0000, 0.0000)  4 Rh 2.55
Sb (0.0000, 0.5000, 0.6368)  5 Rh 2.56-2.65
Sb (0.5000, 0.0000, 0.3632)  5 Rh 2.56-2.65
As (0.5000, 0.5000, 0.0000)  4 Rh 2.55
Rh (0.0000, 0.0000, 0.5000)  4 Sb 2.65
Rh (0.0000, 0.5000, 0.8816)  2 As 2.55, 3 Sb 2.55-2.56
Rh (0.5000, 0.0000, 0.1184)  2 As 2.55, 3 Sb 2.55-2.56
Rh (0.5000, 0.5000, 0.5000)  4 Sb 2.65

---

10.
Density functional theory data (PBE) for a relaxed structure of Pm2SbAs3Rh4.

Results
- total energy (eV for the cell shown) = -65.55
- total magnetization (μB per formula unit) = 0.00
- formation energy (no corrections) (eV per atom) = -0.8574
- SG = P-4m2, No. 115

a = 4.2262 Å, b = 4.2262 Å, c = 10.7189 Å
α = 90.00°, β = 90.00°, γ = 90.00°
Last column: nearest neighbours and their distance in Å.
Element x y z (fractional)
Pm (0.0000, 0.5000, 0.2358)  6 As 3.19-3.53, 8 Rh 3.26-3.29, 2 Sb 3.53
Pm (0.5000, 0.0000, 0.7642)  6 As 3.19-3.53, 8 Rh 3.26-3.29, 2 Sb 3.53
Sb (0.0000, 0.0000, 0.5000)  4 Rh 2.60
As (0.0000, 0.5000, 0.8673)  5 Rh 2.42-2.55
As (0.5000, 0.0000, 0.1327)  5 Rh 2.42-2.55
As (0.5000, 0.5000, 0.5000)  4 Rh 2.60
Rh (0.0000, 0.0000, 0.0000)  4 As 2.55
Rh (0.0000, 0.5000, 0.6419)  3 As 2.42-2.60, 2 Sb 2.60
Rh (0.5000, 0.0000, 0.3581)  3 As 2.42-2.60, 2 Sb 2.60
Rh (0.5000, 0.5000, 0.0000)  4 As 2.55

---

11.
Density functional theory data (PBE) for a relaxed structure of PmScAs2Rh5.

Results
- energy relative to the elements (eV per atom) = -0.54
- total energy (eV for the cell shown) = -61.98
- total magnetization (μB per formula unit) = 0.00
- SG = P4/mmm, No. 123

a = 4.0483 Å, b = 4.0483 Å, c = 10.9416 Å
α = 90.00°, β = 90.00°, γ = 90.00°
Last column: nearest neighbours and their distance in Å.
Element x y z (fractional)
Pm (0.0000, 0.0000, 0.0000)  4 Rh 2.86
Sc (0.0000, 0.0000, 0.5000)  8 Rh 2.72
As (0.5000, 0.5000, 0.2180)  5 Rh 2.39
As (0.5000, 0.5000, 0.7820)  5 Rh 2.39
Rh (0.0000, 0.5000, 0.3335)  2 As 2.39
Rh (0.0000, 0.5000, 0.6665)  2 As 2.39
Rh (0.5000, 0.0000, 0.3335)  2 As 2.39
Rh (0.5000, 0.0000, 0.6665)  2 As 2.39
Rh (0.5000, 0.5000, 0.0000)  2 As 2.39

---

Number 1: theoretical density 6.52 g/cm³. Number 2: theoretical density 9.94 g/cm³. Number 3: theoretical density 9.76 g/cm³. Number 4: theoretical density 9.97 g/cm³. Number 5: theoretical density 8.91 g/cm³. Number 6: theoretical density 9.08 g/cm³. Number 7: theoretical density 9.06 g/cm³. Number 8: theoretical density 6.93 g/cm³. Number 9: theoretical density 9.11 g/cm³. Number 10: theoretical density 9.09 g/cm³. Number 11: theoretical density 7.91 g/cm³.